[1]
VASP calculation (PBE) on Tl2TcIr after structural relaxation.

extended XYZ file:
```
4
Lattice="-2.532 0.052 2.340 -1.614 -1.693 -1.709 2.473 -7.670 2.845" Properties=species:S:1:pos:R:3 pbc="T T T"
Ir 0.699 -4.922 0.865
Tc -0.883 -6.770 1.734
Tl 2.017 -7.676 2.352
Tl -0.604 -2.294 1.937
```

Calculated values
ΔE to the lowest computed polymorph ... 0 meV per atom
Energy of formation ... 141 kJ/mol of formula units
DOS(E_F) ... 2.33 states/eV/cell
Size of the total moment ... 0.00 μB/f.u.

---

[2]
VASP calculation (PBE) on TlTcIr2 after structural relaxation.

extended XYZ file:
```
4
Lattice="-1.268 0.950 -2.387 -2.416 -3.004 0.088 -3.814 3.164 3.285" Properties=species:S:1:pos:R:3 pbc="T T T"
Ir -0.107 0.089 0.092
Ir -1.800 1.493 1.550
Tc -2.796 -0.236 -0.328
Tl -4.702 1.346 1.314
```

Calculated values
ΔE to the lowest computed polymorph ... 128 meV per atom
Energy of formation ... 129 kJ/mol of formula units
DOS(E_F) ... 3.21 states/eV/cell
Size of the total moment ... 0.00 μB/f.u.